1.
Material: CuTcSn2
Method: DFT, PBE-GGA
State: relaxed

Unit cell a=6.6915 b=6.6915 c=6.6915 alpha=90.00 beta=90.00 gamma=90.00
Space group F-43m (No. 216)
Inequivalent atoms, fractional coordinates:
Cu 0.0000 0.0000 0.0000 [4 per cell]
Tc 0.2500 0.2500 0.7500 [4 per cell]
Sn 0.0000 0.0000 0.5000 [4 per cell]
Sn 0.2500 0.2500 0.2500 [4 per cell]

Magnetic moment ... 0.60 μB per formula unit
Crystal system ... cubic
Uncorrected energy ... -4.90 eV per atom

---

2.
Material: SrPrAuSe3
Method: DFT, PBE-GGA
State: relaxed

Unit cell a=8.1590 b=4.1897 c=10.0286 alpha=90.00 beta=104.93 gamma=90.00
Space group P2_1/m (No. 11)
Inequivalent atoms, fractional coordinates:
Sr 0.2437 0.2500 0.2902 [2 per cell]
Pr 0.3041 0.7500 0.8381 [2 per cell]
Au 0.1011 0.2500 0.5941 [2 per cell]
Se 0.0455 0.2500 0.8416 [2 per cell]
Se 0.2858 0.7500 0.5357 [2 per cell]
Se 0.4288 0.7500 0.1465 [2 per cell]

Magnetic moment ... 0.00 μB per formula unit
Crystal system ... monoclinic
Uncorrected energy ... -4.83 eV per atom

---

3.
Material: NpMoW
Method: DFT, PBE-GGA
State: relaxed

Unit cell a=6.2962 b=6.2962 c=6.2962 alpha=90.00 beta=90.00 gamma=90.00
Space group F-43m (No. 216)
Inequivalent atoms, fractional coordinates:
Np 0.0000 0.0000 0.0000 [4 per cell]
Mo 0.0000 0.0000 0.5000 [4 per cell]
W 0.2500 0.2500 0.2500 [4 per cell]

Magnetic moment ... 3.05 μB per formula unit
DFT formation energy ... 2.7 eV per formula unit
Crystal system ... cubic

---

4.
Material: BeHgAsO
Method: DFT, PBE-GGA
State: relaxed

Unit cell a=3.1308 b=7.6844 c=5.4525 alpha=90.00 beta=90.00 gamma=90.00
Space group Pmc2_1 (No. 26)
Inequivalent atoms, fractional coordinates:
Be 0.0000 0.0605 0.0000 [2 per cell]
Hg 0.5000 0.3265 0.3710 [2 per cell]
As 0.5000 0.3156 0.8589 [2 per cell]
O 0.0000 0.0484 0.2740 [2 per cell]

Crystal system ... orthorhombic
Uncorrected energy ... -4.15 eV per atom